# 1
Density functional theory data (PBE-GGA) for a relaxed TbCu2Pd7 crystal.

Values from the calculation:
As for the calculated volume: 396 Å³/cell. The total moment comes out at 0.00 μB/f.u. As for the density of states at the Fermi level: 20.11 states/eV/cell. The calculation puts the total energy at -96.51 eV for the cell shown. The energy relative to the elements comes out at 0.092 eV/atom.

Lattice parameters (Å, degrees): 7.184 12.358 4.465 90.00 90.00 90.00
Space group Cmmm (No. 65)
One atom of each set of equivalent atoms:
Tb  0.000  0.000  0.000
Cu  0.000  0.301  0.500
Pd  0.000  0.221  0.000
Pd  0.000  0.500  0.500
Pd  0.186  0.119  0.500

***

# 2
Density functional theory data (PBE-GGA) for a relaxed Tb8CuPd2 crystal.

Values from the calculation:
As for the calculated volume: 585 Å³/cell. The total moment comes out at 0.00 μB/f.u. As for the density of states at the Fermi level: 26.28 states/eV/cell. The calculation puts the total energy at -110.45 eV for the cell shown. The energy relative to the elements comes out at -0.336 eV/atom.

Lattice parameters (Å, degrees): 17.655 5.092 6.761 90.00 105.82 90.00
Space group C2/m (No. 12)
One atom of each set of equivalent atoms:
Tb  0.031  0.000  0.283
Tb  0.091  0.500  0.958
Tb  0.168  0.500  0.484
Tb  0.202  0.000  0.829
Cu  0.000  0.500  0.500
Pd  0.183  0.000  0.232

***

# 3
Density functional theory data (PBE-GGA) for a relaxed TbCu2Pd4 crystal.

Values from the calculation:
As for the calculated volume: 120 Å³/cell. The total moment comes out at 0.00 μB/f.u. As for the density of states at the Fermi level: 3.05 states/eV/cell. The calculation puts the total energy at -35.80 eV for the cell shown. The energy relative to the elements comes out at -0.315 eV/atom.

Lattice parameters (Å, degrees): 4.750 5.508 5.546 60.32 74.76 89.45
Space group P-1 (No. 2)
One atom of each set of equivalent atoms:
Tb  0.000  0.000  0.000
Cu  0.477  0.740  0.518
Pd  0.000  0.000  0.500
Pd  0.000  0.500  0.500
Pd  0.498  0.261  0.000

***

# 4
Density functional theory data (PBE-GGA) for a relaxed Tb6CuPd2 crystal.

Values from the calculation:
As for the calculated volume: 930 Å³/cell. The total moment comes out at 0.00 μB/f.u. As for the density of states at the Fermi level: 33.35 states/eV/cell. The calculation puts the total energy at -184.28 eV for the cell shown. The energy relative to the elements comes out at -0.423 eV/atom.

Lattice parameters (Å, degrees): 9.551 9.637 10.101 90.00 90.00 90.00
Space group Immm (No. 71)
One atom of each set of equivalent atoms:
Tb  0.000  0.186  0.247
Tb  0.202  0.500  0.170
Tb  0.227  0.325  0.500
Cu  0.000  0.000  0.000
Cu  0.000  0.000  0.500
Pd  0.000  0.340  0.000
Pd  0.000  0.500  0.367

***

# 5
Density functional theory data (PBE-GGA) for a relaxed TbCu6Pd8 crystal.

Values from the calculation:
As for the calculated volume: 713 Å³/cell. The total moment comes out at 0.00 μB/f.u. As for the density of states at the Fermi level: 17.85 states/eV/cell. The calculation puts the total energy at -216.86 eV for the cell shown. The energy relative to the elements comes out at -0.103 eV/atom.

Lattice parameters (Å, degrees): 7.5283 7.5283 14.5276 90.00 90.00 120.00
Space group R-3 (No. 148, hexagonal axes)
One atom of each set of equivalent atoms:
Tb  0.0000  0.0000  0.0000
Cu  0.0127  0.7961  0.3753
Pd  0.0000  0.0000  0.2354
Pd  0.0075  0.3066  0.1255

***

# 6
Density functional theory data (PBE-GGA) for a relaxed TbCu2Pd6 crystal.

Values from the calculation:
As for the calculated volume: 169 Å³/cell. The total moment comes out at 0.00 μB/f.u. As for the density of states at the Fermi level: 3.45 states/eV/cell. The calculation puts the total energy at -45.08 eV for the cell shown. The energy relative to the elements comes out at -0.122 eV/atom.

Lattice parameters (Å, degrees): 4.7090 4.7090 8.8215 90.00 90.00 120.00
Space group P-31m (No. 162)
One atom of each set of equivalent atoms:
Tb  0.0000  0.0000  0.0000
Cu  0.3333  0.6667  0.5000
Pd  0.0000  0.3375  0.7388

***

# 7
Density functional theory data (PBE-GGA) for a relaxed Tb4CuPd2 crystal.

Values from the calculation:
As for the calculated volume: 340 Å³/cell. The total moment comes out at 0.00 μB/f.u. As for the density of states at the Fermi level: 11.26 states/eV/cell. The calculation puts the total energy at -72.95 eV for the cell shown. The energy relative to the elements comes out at -0.496 eV/atom.

Lattice parameters (Å, degrees): 7.032 9.838 4.916 90.00 90.00 90.00
Space group Cmmm (No. 65)
One atom of each set of equivalent atoms:
Tb  0.249  0.000  0.000
Tb  0.250  0.250  0.500
Cu  0.000  0.500  0.500
Pd  0.000  0.252  0.000

***

# 8
Density functional theory data (PBE-GGA) for a relaxed TbCu8Pd3 crystal.

Values from the calculation:
As for the calculated volume: 168 Å³/cell. The total moment comes out at 0.00 μB/f.u. As for the density of states at the Fermi level: 3.33 states/eV/cell. The calculation puts the total energy at -55.51 eV for the cell shown. The energy relative to the elements comes out at -0.211 eV/atom.

Lattice parameters (Å, degrees): 4.9208 4.9208 8.0143 90.00 90.00 120.00
Space group P3m1 (No. 156)
One atom of each set of equivalent atoms:
Tb  0.0000  0.0000  0.0000
Cu  0.1646  0.3293  0.6749
Cu  0.3333  0.6667  0.4316
Cu  0.3333  0.6667  0.9322
Cu  0.5035  0.0070  0.1931
Pd  0.0000  0.0000  0.3749
Pd  0.6667  0.3333  0.4991
Pd  0.6667  0.3333  0.8639

***

# 9
Density functional theory data (PBE-GGA) for a relaxed Tb3Cu2Pd crystal.

Values from the calculation:
As for the calculated volume: 129 Å³/cell. The total moment comes out at 0.00 μB/f.u. As for the density of states at the Fermi level: 4.09 states/eV/cell. The calculation puts the total energy at -29.94 eV for the cell shown. The energy relative to the elements comes out at -0.444 eV/atom.

Lattice parameters (Å, degrees): 3.484 3.484 10.620 90.00 90.00 90.00
Space group P4/mmm (No. 123)
One atom of each set of equivalent atoms:
Tb  0.000  0.000  0.000
Tb  0.000  0.000  0.333
Cu  0.500  0.500  0.165
Pd  0.500  0.500  0.500

***

# 10
Density functional theory data (PBE-GGA) for a relaxed TbCuPd crystal.

Values from the calculation:
As for the calculated volume: 230 Å³/cell. The total moment comes out at 0.00 μB/f.u. As for the density of states at the Fermi level: 4.05 states/eV/cell. The calculation puts the total energy at -63.04 eV for the cell shown. The energy relative to the elements comes out at -0.614 eV/atom.

Lattice parameters (Å, degrees): 7.088 4.000 8.100 90.00 90.00 90.00
Space group Pnma (No. 62)
One atom of each set of equivalent atoms:
Tb  0.047  0.250  0.196
Cu  0.125  0.250  0.568
Pd  0.247  0.250  0.886

***

# 11
Density functional theory data (PBE-GGA) for a relaxed Tb2Cu5Pd5 crystal.

Values from the calculation:
As for the calculated volume: 199 Å³/cell. The total moment comes out at 0.00 μB/f.u. As for the density of states at the Fermi level: 2.77 states/eV/cell. The calculation puts the total energy at -61.62 eV for the cell shown. The energy relative to the elements comes out at -0.493 eV/atom.

Lattice parameters (Å, degrees): 4.381 5.043 9.013 90.00 90.00 90.00
Space group Pmmm (No. 47)
One atom of each set of equivalent atoms:
Tb  0.000  0.000  0.000
Tb  0.000  0.500  0.500
Cu  0.500  0.000  0.500
Cu  0.500  0.250  0.257
Pd  0.000  0.000  0.335
Pd  0.000  0.500  0.177
Pd  0.500  0.500  0.000

***

# 12
Density functional theory data (PBE-GGA) for a relaxed TbCu3Pd crystal.

Values from the calculation:
As for the calculated volume: 409 Å³/cell. The total moment comes out at 0.00 μB/f.u. As for the density of states at the Fermi level: 12.31 states/eV/cell. The calculation puts the total energy at -86.77 eV for the cell shown. The energy relative to the elements comes out at 0.084 eV/atom.

Lattice parameters (Å, degrees): 4.825 4.825 17.581 90.00 90.00 90.00
Space group I-4m2 (No. 119)
One atom of each set of equivalent atoms:
Tb  0.000  0.000  0.169
Cu  0.000  0.246  0.622
Cu  0.000  0.500  0.065
Pd  0.000  0.000  0.500
Pd  0.000  0.500  0.750

***

- calculated volume of number 7 (Tb4CuPd2)?
  340 Å³/cell

***

- What is the energy relative to the elements in the first record?
  0.092 eV/atom

***

- Which formula does entry 3 have?
  TbCu2Pd4